(1)
A relaxed CsNaPAu crystal. Source: OQMD via LeMat-Bulk, functional PBE.

Summary:
The excess energy over the best structure of this formula in the dataset is 0 meV/atom.

Cell: 6.275 5.895 6.767 Å, 90.00 100.54 90.00°
Sites, in units of the cell vectors:
1 P 0.731 0.250 0.809
2 Na 0.442 0.250 0.092
3 Cs 0.199 0.250 0.532
4 Au 0.000 0.000 0.000
5 Na 0.558 0.750 0.908
6 P 0.269 0.750 0.191
7 Au 0.000 0.500 0.000
8 Cs 0.801 0.750 0.468


(2)
A relaxed CsNaPAu crystal. Source: OQMD via LeMat-Bulk, functional PBE.

Summary:
The excess energy over the best structure of this formula in the dataset is 83 meV/atom.

Cell: 6.614 6.267 6.267 Å, 109.29 90.00 90.00°
Sites, in units of the cell vectors:
1 Au 0.261 0.487 0.487
2 Na 0.500 0.987 0.334
3 Au 0.739 0.487 0.487
4 Cs 0.000 0.679 0.027
5 P 0.500 0.740 0.740
6 Na 0.500 0.334 0.987
7 Cs 0.000 0.027 0.679
8 P 0.000 0.259 0.259


(3)
A relaxed CsNbAu crystal. Source: OQMD via LeMat-Bulk, functional PBE.

Summary:
Its total magnetic moment is 4.52 μB per cell.

Cell: 5.319 5.319 5.319 Å, 60.00 60.00 60.00°
Sites, in units of the cell vectors:
1 Nb 0.750 0.750 0.750
2 Cs 0.250 0.250 0.250
3 Au 0.000 0.000 0.000


(4)
A relaxed CsNbAuO3 crystal. Source: OQMD via LeMat-Bulk, functional PBE.

Summary:
Its total magnetic moment is 0.01 μB per cell.

Cell: 13.244 3.256 10.639 Å, 90.00 90.00 90.00°
Sites, in units of the cell vectors:
1 Au 0.022 0.250 0.404
2 O 0.922 0.250 0.019
3 Nb 0.532 0.250 0.637
4 O 0.078 0.750 0.981
5 O 0.653 0.250 0.712
6 O 0.548 0.250 0.299
7 Nb 0.468 0.750 0.363
8 Cs 0.741 0.750 0.920
9 O 0.578 0.750 0.519
10 Cs 0.759 0.250 0.420
11 Au 0.522 0.250 0.096
12 Cs 0.241 0.750 0.580
13 O 0.422 0.250 0.481
14 O 0.452 0.750 0.701
15 O 0.153 0.250 0.788
16 Nb 0.032 0.250 0.863
17 Au 0.978 0.750 0.596
18 O 0.347 0.750 0.288
19 O 0.048 0.250 0.201
20 O 0.952 0.750 0.799
21 Cs 0.259 0.250 0.080
22 Nb 0.968 0.750 0.137
23 O 0.847 0.750 0.212
24 Au 0.478 0.750 0.904


no.,calculated total energy (eV/cell)
1,-25.1
2,-24.5
3,-10.0
4,-157.8